## i
Computed, not measured: a geometry-optimized Na3SrLi structure at the PBE-GGA level of DFT.

Structure (POSCAR):
```
Na3SrLi
1.0
6.786 0.000 0.000
0.000 6.786 0.000
0.000 0.000 6.786
Sr Li Na
1 1 3
Direct
0.000 0.000 0.000
0.500 0.500 0.500
0.000 0.500 0.000
0.000 0.000 0.500
0.500 0.000 0.000
```

* space group: Pm-3m, No. 221
* density of states at the Fermi level: 1.0638 states/eV/atom


## ii
Computed, not measured: a geometry-optimized Na3SrLi structure at the PBE-GGA level of DFT.

Structure (POSCAR):
```
Na3SrLi
1.0
5.783 0.000 0.000
0.000 5.783 0.000
0.000 0.000 5.783
Sr Li Na
1 1 3
Direct
0.500 0.500 0.500
0.000 0.000 0.000
0.000 0.500 0.000
0.000 0.000 0.500
0.500 0.000 0.000
```

* space group: Pm-3m, No. 221
* density of states at the Fermi level: 0.6881 states/eV/atom


Most stable pick: ii. Distance to second place: 485 meV per atom.


## i
Computed, not measured: a geometry-optimized Na2Sr8Li structure at the PBE-GGA level of DFT.

Structure (POSCAR):
```
Na2Sr8Li
1.0
6.097 0.000 -1.745
-0.157 7.948 -0.549
-0.116 -0.004 11.115
Na Sr Li
2 8 1
Direct
0.849 0.830 0.699
0.151 0.170 0.301
0.410 0.579 0.820
0.670 0.920 0.340
0.783 0.378 0.567
0.033 0.759 0.066
0.217 0.622 0.433
0.330 0.080 0.660
0.590 0.421 0.180
0.967 0.241 0.934
0.500 0.000 0.000
```

* space group: C2/m, No. 12
* density of states at the Fermi level: 0.7467 states/eV/atom


## ii
Computed, not measured: a geometry-optimized Na2Sr8Li structure at the PBE-GGA level of DFT.

Structure (POSCAR):
```
Na2Sr8Li
1.0
-3.446 1.940 5.041
-4.488 -7.390 -0.225
9.984 -2.138 3.575
Na Sr Li
2 8 1
Direct
0.814 0.310 0.629
0.186 0.690 0.371
0.406 0.563 0.811
0.659 0.945 0.318
0.813 0.736 0.625
0.977 0.223 0.954
0.187 0.264 0.375
0.341 0.055 0.682
0.594 0.437 0.189
0.023 0.777 0.046
0.500 0.000 0.000
```

* space group: C2/m, No. 12
* density of states at the Fermi level: 1.0792 states/eV/atom


Most stable pick: i. Distance to second place: 31 meV per atom.


## i
Computed, not measured: a geometry-optimized NaSr4Li structure at the PBE-GGA level of DFT.

Structure (POSCAR):
```
NaSr4Li
1.0
4.308 -0.001 0.000
0.001 4.308 0.000
-0.001 -0.001 14.962
Na Sr Li
1 4 1
Direct
0.500 0.500 0.500
0.500 0.500 0.862
0.500 0.500 0.138
0.000 0.000 0.662
0.000 0.000 0.338
0.000 0.000 0.000
```

* space group: P4/mmm, No. 123
* density of states at the Fermi level: 0.8998 states/eV/atom


## ii
Computed, not measured: a geometry-optimized NaSr4Li structure at the PBE-GGA level of DFT.

Structure (POSCAR):
```
NaSr4Li
1.0
-1.261 -0.992 -3.948
-1.974 -8.015 2.644
-7.972 2.870 1.826
Na Sr Li
1 4 1
Direct
0.000 0.500 0.500
0.500 0.261 0.739
0.000 0.787 0.787
0.000 0.213 0.213
0.500 0.739 0.261
0.500 0.000 0.000
```

* space group: Cmmm, No. 65
* density of states at the Fermi level: 1.1454 states/eV/atom


Most stable pick: i. Distance to second place: 224 meV per atom.


## i
Computed, not measured: a geometry-optimized Na3Sr2Li structure at the PBE-GGA level of DFT.

Structure (POSCAR):
```
Na3Sr2Li
1.0
5.858 0.000 -1.462
0.000 6.886 0.000
-0.089 0.000 12.109
Na Sr Li
6 4 2
Direct
0.374 0.485 0.748
0.626 0.515 0.252
0.374 0.015 0.748
0.626 0.985 0.252
0.865 0.750 0.730
0.135 0.250 0.270
0.229 0.750 0.459
0.771 0.250 0.541
0.047 0.750 0.095
0.953 0.250 0.905
0.483 0.750 0.966
0.517 0.250 0.034
```

* space group: Cmcm, No. 63
* density of states at the Fermi level: 0.5908 states/eV/atom


## ii
Computed, not measured: a geometry-optimized Na3Sr2Li structure at the PBE-GGA level of DFT.

Structure (POSCAR):
```
Na3Sr2Li
1.0
-1.125 2.379 -3.179
-5.285 0.830 2.491
3.564 8.160 4.844
Na Sr Li
3 2 1
Direct
0.500 0.000 0.831
0.500 0.000 0.169
0.500 0.500 0.662
0.000 0.500 0.022
0.000 0.000 0.481
0.500 0.500 0.335
```

* space group: Pmm2, No. 25
* density of states at the Fermi level: 0.7832 states/eV/atom


Most stable pick: ii. Distance to second place: 13 meV per atom.


## i
Computed, not measured: a geometry-optimized Na4Sr2Li structure at the PBE-GGA level of DFT.

Structure (POSCAR):
```
Na4Sr2Li
1.0
-1.064 -3.547 -1.501
3.813 -1.299 0.366
-5.379 -5.057 15.760
Na Sr Li
4 2 1
Direct
0.500 0.053 0.106
0.000 0.383 0.767
0.500 0.947 0.894
0.000 0.617 0.233
0.500 0.198 0.395
0.500 0.802 0.605
0.000 0.500 0.000
```

* space group: Cmmm, No. 65
* density of states at the Fermi level: 0.7238 states/eV/atom


## ii
Computed, not measured: a geometry-optimized Na4Sr2Li structure at the PBE-GGA level of DFT.

Structure (POSCAR):
```
Na4Sr2Li
1.0
-3.642 0.079 4.329
1.587 -5.238 1.431
5.660 0.966 8.441
Sr Li Na
2 1 4
Direct
0.638 0.638 0.724
0.362 0.362 0.276
0.000 0.000 0.000
0.838 0.838 0.324
0.162 0.162 0.676
0.000 0.500 0.000
0.500 0.000 0.000
```

* space group: I4/mmm, No. 139
* density of states at the Fermi level: 0.8084 states/eV/atom


Most stable pick: i. Distance to second place: 105 meV per atom.


## i
Computed, not measured: a geometry-optimized NaSr6Li structure at the PBE-GGA level of DFT.

Structure (POSCAR):
```
NaSr6Li
1.0
-5.104 6.616 -0.647
-5.510 0.456 -6.321
-8.235 -0.912 1.543
Na Sr Li
1 6 1
Direct
0.500 0.500 0.500
0.038 0.439 0.757
0.766 0.037 0.757
0.561 0.234 0.243
0.234 0.963 0.243
0.962 0.561 0.243
0.439 0.766 0.757
0.000 0.000 0.000
```

* space group: P-1, No. 2
* density of states at the Fermi level: 1.2793 states/eV/atom


## ii
Computed, not measured: a geometry-optimized NaSr6Li structure at the PBE-GGA level of DFT.

Structure (POSCAR):
```
NaSr6Li
1.0
-1.756 5.958 0.773
-3.152 -0.228 -5.403
-10.545 -0.149 2.532
Na Sr Li
1 6 1
Direct
0.000 0.000 0.000
0.750 0.750 0.501
0.608 0.108 0.784
0.108 0.608 0.784
0.392 0.892 0.216
0.250 0.250 0.499
0.892 0.392 0.216
0.500 0.500 0.000
```

* space group: I4/mmm, No. 139
* density of states at the Fermi level: 0.6677 states/eV/atom


Most stable pick: ii. Distance to second place: 172 meV per atom.


## i
Computed, not measured: a geometry-optimized NaSr2LiZn structure at the PBE-GGA level of DFT.

Structure (POSCAR):
```
NaSr2LiZn
1.0
-2.371 -3.356 4.677
5.754 -1.243 2.025
-0.129 4.173 2.929
Sr Zn Li Na
2 1 1 1
Direct
0.000 0.500 0.000
0.500 0.000 0.000
0.000 0.000 0.000
0.000 0.000 0.500
0.500 0.500 0.500
```

* space group: P4/mmm, No. 123
* density of states at the Fermi level: 0.8636 states/eV/atom


## ii
Computed, not measured: a geometry-optimized NaSr2LiZn structure at the PBE-GGA level of DFT.

Structure (POSCAR):
```
NaSr2LiZn
1.0
6.169 0.000 0.000
0.000 6.169 0.000
0.000 0.000 5.590
Sr Zn Li Na
2 1 1 1
Direct
0.000 0.500 0.000
0.500 0.000 0.000
0.000 0.000 0.000
0.500 0.500 0.500
0.000 0.000 0.500
```

* space group: P4/mmm, No. 123
* density of states at the Fermi level: 0.5442 states/eV/atom


Most stable pick: i. Distance to second place: 79 meV per atom.


## i
Computed, not measured: a geometry-optimized NaLiTc2 structure at the PBE-GGA level of DFT.

Structure (POSCAR):
```
NaLiTc2
1.0
-2.488 2.437 -0.792
-1.910 -1.028 2.837
2.811 7.743 6.947
Na Tc Li
2 4 2
Direct
0.000 0.000 0.000
0.750 0.250 0.500
0.140 0.125 0.250
0.610 0.625 0.250
0.375 0.860 0.750
0.875 0.390 0.750
0.500 0.500 0.000
0.250 0.750 0.500
```

* space group: I-42d, No. 122
* density of states at the Fermi level: 0.8451 states/eV/atom


## ii
Computed, not measured: a geometry-optimized NaLiTc2 structure at the PBE-GGA level of DFT.

Structure (POSCAR):
```
NaLiTc2
1.0
2.857 -3.402 0.271
0.541 -2.150 3.860
-1.526 -4.155 0.466
Na Tc Li
1 2 1
Direct
0.500 0.500 0.500
0.250 0.250 0.250
0.750 0.750 0.750
0.000 0.000 0.000
```

* space group: Fm-3m, No. 225
* density of states at the Fermi level: 1.3460 states/eV/atom


Most stable pick: i. Distance to second place: 667 meV per atom.


## i
Computed, not measured: a geometry-optimized Na3LiTc structure at the PBE-GGA level of DFT.

Structure (POSCAR):
```
Na3LiTc
1.0
-4.022 -2.768 -1.903
0.386 -3.330 4.027
-3.337 2.951 2.759
Na Tc Li
3 1 1
Direct
0.000 0.500 0.000
0.000 0.000 0.500
0.500 0.000 0.000
0.500 0.500 0.500
0.000 0.000 0.000
```

* space group: Pm-3m, No. 221
* density of states at the Fermi level: 0.7389 states/eV/atom


## ii
Computed, not measured: a geometry-optimized Na3LiTc structure at the PBE-GGA level of DFT.

Structure (POSCAR):
```
Na3LiTc
1.0
-4.718 -3.301 0.769
2.712 -2.887 4.250
-2.033 3.811 3.886
Na Tc Li
3 1 1
Direct
0.000 0.500 0.000
0.000 0.000 0.500
0.500 0.000 0.000
0.000 0.000 0.000
0.500 0.500 0.500
```

* space group: Pm-3m, No. 221
* density of states at the Fermi level: 1.1519 states/eV/atom


Most stable pick: ii. Distance to second place: 40 meV per atom.


## i
Computed, not measured: a geometry-optimized Na2Li2Te structure at the PBE-GGA level of DFT.

Structure (POSCAR):
```
Na2Li2Te
1.0
7.185 0.000 0.000
0.000 7.185 0.000
0.000 0.000 5.143
Na Te Li
4 2 4
Direct
0.175 0.675 0.500
0.675 0.825 0.500
0.825 0.325 0.500
0.325 0.175 0.500
0.000 0.000 0.000
0.500 0.500 0.000
0.356 0.856 0.000
0.856 0.644 0.000
0.644 0.144 0.000
0.144 0.356 0.000
```

* space group: P4/mbm, No. 127
* density of states at the Fermi level: 0.0200 states/eV/atom


## ii
Computed, not measured: a geometry-optimized Na2Li2Te structure at the PBE-GGA level of DFT.

Structure (POSCAR):
```
Na2Li2Te
1.0
7.745 0.000 0.000
0.000 7.745 0.000
0.000 0.000 4.784
Na Te Li
4 2 4
Direct
0.361 0.861 0.000
0.861 0.639 0.000
0.639 0.139 0.000
0.139 0.361 0.000
0.000 0.000 0.000
0.500 0.500 0.000
0.168 0.668 0.500
0.668 0.832 0.500
0.832 0.332 0.500
0.332 0.168 0.500
```

* space group: P4/mbm, No. 127
* density of states at the Fermi level: 0.0105 states/eV/atom


Most stable pick: i. Distance to second place: 191 meV per atom.


## i
Computed, not measured: a geometry-optimized NaLiTe3 structure at the PBE-GGA level of DFT.

Structure (POSCAR):
```
NaLiTe3
1.0
5.569 0.000 0.000
0.000 5.569 0.000
0.000 0.000 5.569
Na Te Li
1 3 1
Direct
0.000 0.000 0.000
0.000 0.500 0.000
0.000 0.000 0.500
0.500 0.000 0.000
0.500 0.500 0.500
```

* space group: Pm-3m, No. 221
* density of states at the Fermi level: 1.3669 states/eV/atom


## ii
Computed, not measured: a geometry-optimized NaLiTe3 structure at the PBE-GGA level of DFT.

Structure (POSCAR):
```
NaLiTe3
1.0
6.152 0.339 0.000
-1.685 3.923 0.000
0.000 0.000 11.444
Na Li Te
2 2 6
Direct
0.170 0.338 0.250
0.830 0.662 0.750
0.500 0.000 0.500
0.500 0.000 0.000
0.125 0.312 0.569
0.589 0.046 0.250
0.411 0.954 0.750
0.125 0.312 0.931
0.875 0.688 0.069
0.875 0.688 0.431
```

* space group: P2_1/m, No. 11
* density of states at the Fermi level: 0.0614 states/eV/atom


## iii
Computed, not measured: a geometry-optimized NaLiTe3 structure at the PBE-GGA level of DFT.

Structure (POSCAR):
```
NaLiTe3
1.0
-1.945 1.273 -4.693
-1.934 -4.840 -0.511
-4.461 1.543 2.268
Na Te Li
1 3 1
Direct
0.500 0.500 0.500
0.000 0.500 0.000
0.000 0.000 0.500
0.500 0.000 0.000
0.000 0.000 0.000
```

* space group: Pm-3m, No. 221
* density of states at the Fermi level: 0.8715 states/eV/atom


Most stable pick: ii. Distance to second place: 339 meV per atom.


## i
Computed, not measured: a geometry-optimized NaLi2Ti structure at the PBE-GGA level of DFT.

Structure (POSCAR):
```
NaLi2Ti
1.0
-1.257 1.416 -2.169
-2.754 0.811 0.214
1.945 10.679 3.931
Na Li Ti
1 2 1
Direct
0.500 0.500 0.500
0.080 0.080 0.761
0.920 0.920 0.239
0.000 0.000 0.000
```

* space group: R-3m, No. 166
* density of states at the Fermi level: 0.8192 states/eV/atom


## ii
Computed, not measured: a geometry-optimized NaLi2Ti structure at the PBE-GGA level of DFT.

Structure (POSCAR):
```
NaLi2Ti
1.0
7.588 0.000 0.000
0.000 7.588 0.000
3.794 3.794 3.101
Na Li Ti
2 4 2
Direct
0.500 0.500 0.000
0.250 0.750 0.500
0.617 0.125 0.250
0.133 0.625 0.250
0.375 0.383 0.750
0.875 0.867 0.750
0.000 0.000 0.000
0.750 0.250 0.500
```

* space group: I-42d, No. 122
* density of states at the Fermi level: 0.9319 states/eV/atom


## iii
Computed, not measured: a geometry-optimized NaLi2Ti structure at the PBE-GGA level of DFT.

Structure (POSCAR):
```
NaLi2Ti
1.0
0.000 3.551 3.551
3.551 0.000 3.551
3.551 3.551 0.000
Na Li Ti
1 2 1
Direct
0.000 0.000 0.000
0.250 0.250 0.250
0.750 0.750 0.750
0.500 0.500 0.500
```

* space group: Fm-3m, No. 225
* density of states at the Fermi level: 1.1608 states/eV/atom


Most stable pick: i. Distance to second place: 269 meV per atom.